(1)
Entry from the Alexandria database: Nd2SmTm4Th after structural relaxation (PBE).

Unit cell a=5.099 b=5.086 c=11.105 alpha=62.78 beta=90.00 gamma=90.00
Sites, in units of the cell vectors:
Nd: 0.000 0.000 0.000
Nd: 0.500 0.000 0.500
Sm: 0.500 0.500 0.000
Tm: 0.000 0.754 0.746
Tm: 0.000 0.246 0.254
Tm: 0.500 0.746 0.254
Tm: 0.500 0.254 0.746
Th: 0.000 0.500 0.500

Properties
The calculation puts the formation enthalpy at 0 K at 0.03 eV per atom. The total energy comes out at -0.3613 Ry/atom. For the density of states at the Fermi level, the calculation gives 1.35 states/eV/atom.

(2)
Entry from the Alexandria database: Be2CuW after structural relaxation (PBE).

Unit cell a=6.084 b=6.084 c=4.998 alpha=52.50 beta=52.50 gamma=90.00
Sites, in units of the cell vectors:
Be: 0.596 0.125 0.250
Be: 0.154 0.625 0.250
Be: 0.375 0.404 0.750
Be: 0.875 0.846 0.750
Cu: 0.500 0.500 0.000
Cu: 0.250 0.750 0.500
W: 0.000 0.000 0.000
W: 0.750 0.250 0.500

Properties
The calculation puts the formation enthalpy at 0 K at 0.52 eV per atom. The total energy comes out at -0.4120 Ry/atom. For the energy above the most stable polymorph in this dataset, the calculation gives 198 kJ/mol of formula units. For the density of states at the Fermi level, the calculation gives 0.51 states/eV/atom.

(3)
Entry from the Alexandria database: LiMnRe2 after structural relaxation (PBE).

Unit cell a=2.638 b=4.012 c=5.241 alpha=90.00 beta=90.00 gamma=90.00
Last column: magnetic moment on the atom in μB.
Sites, in units of the cell vectors:
Li: 0.000 0.000 0.512  -0.02
Mn: 0.500 0.500 0.735  2.60
Re: 0.000 0.000 0.009  -0.22
Re: 0.500 0.500 0.244  -0.23

Properties
The calculation puts the formation enthalpy at 0 K at 0.30 eV per atom. The total energy comes out at -0.6388 Ry/atom. For the energy above the most stable polymorph in this dataset, the calculation gives 49 kJ/mol of formula units. For the density of states at the Fermi level, the calculation gives 0.74 states/eV/atom.

(4)
Entry from the Alexandria database: Nd2Tl3Pd after structural relaxation (PBE).

Unit cell a=3.702 b=5.010 c=8.648 alpha=90.00 beta=90.00 gamma=90.00
Sites, in units of the cell vectors:
Nd: 0.000 0.500 0.028
Nd: 0.000 0.000 0.484
Tl: 0.500 0.000 0.835
Tl: 0.500 0.000 0.179
Tl: 0.500 0.500 0.649
Pd: 0.500 0.500 0.325

Properties
The calculation puts the formation enthalpy at 0 K at -0.40 eV per atom. The total energy comes out at -0.2971 Ry/atom. For the density of states at the Fermi level, the calculation gives 0.73 states/eV/atom.

(5)
Entry from the Alexandria database: BeHg6Pd12 after structural relaxation (PBE).

Unit cell a=6.956 b=6.956 c=6.956 alpha=94.55 beta=94.55 gamma=94.55
Sites, in units of the cell vectors:
Be: 0.000 0.000 0.000
Hg: 0.688 0.873 0.263
Hg: 0.737 0.312 0.127
Hg: 0.127 0.737 0.312
Hg: 0.312 0.127 0.737
Hg: 0.263 0.688 0.873
Hg: 0.873 0.263 0.688
Pd: 0.788 0.559 0.471
Pd: 0.471 0.788 0.559
Pd: 0.559 0.471 0.788
Pd: 0.212 0.441 0.529
Pd: 0.529 0.212 0.441
Pd: 0.441 0.529 0.212
Pd: 0.027 0.116 0.336
Pd: 0.884 0.664 0.973
Pd: 0.664 0.973 0.884
Pd: 0.973 0.884 0.664
Pd: 0.116 0.336 0.027
Pd: 0.336 0.027 0.116

Properties
The calculation puts the formation enthalpy at 0 K at -0.07 eV per atom. The total energy comes out at -0.2675 Ry/atom. For the density of states at the Fermi level, the calculation gives 0.43 states/eV/atom.

(6)
Entry from the Alexandria database: Er5Tm5Th after structural relaxation (PBE).

Unit cell a=5.948 b=5.948 c=11.587 alpha=90.00 beta=90.00 gamma=120.00
Sites, in units of the cell vectors:
Er: 0.667 0.333 0.150
Er: 0.667 0.333 0.850
Er: 0.333 0.667 0.322
Er: 0.333 0.667 0.678
Er: 0.000 0.000 0.000
Tm: 0.333 0.167 0.500
Tm: 0.000 0.000 0.263
Tm: 0.833 0.667 0.500
Tm: 0.833 0.167 0.500
Tm: 0.000 0.000 0.737
Th: 0.333 0.667 0.000

Properties
The calculation puts the formation enthalpy at 0 K at 0.35 eV per atom. The total energy comes out at -0.3254 Ry/atom. For the density of states at the Fermi level, the calculation gives 1.85 states/eV/atom.

(7)
Entry from the Alexandria database: TaNbFeRu after structural relaxation (PBE).

Unit cell a=4.440 b=4.440 c=4.440 alpha=60.00 beta=60.00 gamma=60.00
Last column: magnetic moment on the atom in μB.
Sites, in units of the cell vectors:
Ru: 0.750 0.750 0.750  0.17
Nb: 0.500 0.500 0.500  -0.07
Fe: 0.250 0.250 0.250  1.71
Ta: 0.000 0.000 0.000  -0.12

Properties
The calculation puts the formation enthalpy at 0 K at -0.18 eV per atom. The total energy comes out at -0.7417 Ry/atom. For the density of states at the Fermi level, the calculation gives 0.68 states/eV/atom.

(8)
Entry from the Alexandria database: YCu2Ni after structural relaxation (PBE).

Unit cell a=4.487 b=4.487 c=4.487 alpha=60.00 beta=60.00 gamma=60.00
Sites, in units of the cell vectors:
Y: 0.500 0.500 0.500
Ni: 0.000 0.000 0.000
Cu: 0.250 0.250 0.250
Cu: 0.750 0.750 0.750

Properties
The calculation puts the formation enthalpy at 0 K at -0.06 eV per atom. The total energy comes out at -0.3801 Ry/atom. For the energy above the most stable polymorph in this dataset, the calculation gives 77 kJ/mol of formula units. For the density of states at the Fermi level, the calculation gives 0.64 states/eV/atom.